Record 1
Below is crystalline ScTiOsF2 at its relaxed geometry, with properties calculated at the GGA-PBE level.

Lattice parameters (Å, degrees): 3.7819 3.7819 6.8457 90.00 90.00 90.00
Fractional coordinates of all 5 atoms:
Os  0.5000  0.5000  0.5000
Ti  0.0000  0.0000  0.5000
F  0.5000  0.0000  0.0000
F  0.0000  0.5000  0.0000
Sc  0.0000  0.0000  0.0000

Values from the calculation:
- symmetry = No. 123
- V (A^3/atom) = 19.6
- E_tot (eV per atom) = -7.05

Record 2
Below is crystalline OsSe2F at its relaxed geometry, with properties calculated at the GGA-PBE level.

Lattice parameters (Å, degrees): 5.9912 5.9912 6.5614 62.84 62.84 90.00
Fractional coordinates of all 8 atoms:
F  0.2500  0.7500  0.5000
F  0.5000  0.5000  0.0000
Se  0.0893  0.6250  0.2500
Se  0.8750  0.9107  0.7500
Se  0.6607  0.1250  0.2500
Se  0.3750  0.3393  0.7500
Os  0.7500  0.2500  0.5000
Os  0.0000  0.0000  0.0000

Values from the calculation:
- distance to the lowest polymorph of the same formula (meV per atom) = 131
- symmetry = No. 122
- V (A^3/atom) = 22.5
- E_tot (eV per atom) = -5.21